The following is a PBE calculation of an optimized crystal structure of SmGa2Ag4, from Alexandria.

Output
- Energy of formation from the pure elements: -259.1 meV/atom

Unit cell a=4.273 b=15.170 c=4.261 alpha=90.00 beta=90.00 gamma=90.00
Space group Cmmm (No. 65)
One atom of each set of equivalent atoms:
1 Sm 0.000 0.000 0.000
2 Ga 0.000 0.420 0.500
3 Ag 0.000 0.183 0.500
4 Ag 0.000 0.318 0.000


The following is a PBE calculation of an optimized crystal structure of K2RbCl, from Alexandria.

Output
- Uncorrected formation energy: -0.843 eV/atom

Unit cell a=9.670 b=9.670 c=12.300 alpha=90.00 beta=90.00 gamma=90.00
Space group I-42d (No. 122)
One atom of each set of equivalent atoms:
1 K 0.093 0.250 0.125
2 Rb 0.000 0.000 0.500
3 Cl 0.000 0.000 0.000


The following is a PBE calculation of an optimized crystal structure of Sc4Nb2Zn, from Alexandria.

Output
- Energy of formation from the pure elements: 694.1 meV/atom

Unit cell a=5.148 b=5.148 c=13.355 alpha=90.00 beta=90.00 gamma=90.00
Space group I4/mmm (No. 139)
One atom of each set of equivalent atoms:
1 Sc 0.000 0.000 0.197
2 Sc 0.000 0.500 0.000
3 Nb 0.000 0.000 0.406
4 Zn 0.000 0.000 0.000


The following is a PBE calculation of an optimized crystal structure of PrCu2Pt2, from Alexandria.

Output
- Energy of formation from the pure elements: -553.3 meV/atom

Unit cell a=4.080 b=4.080 c=22.087 alpha=90.00 beta=90.00 gamma=90.00
Space group I4/mmm (No. 139)
One atom of each set of equivalent atoms:
1 Pr 0.000 0.000 0.128
2 Cu 0.000 0.000 0.320
3 Cu 0.000 0.500 0.000
4 Pt 0.000 0.000 0.431
5 Pt 0.000 0.500 0.250


The following is a PBE calculation of an optimized crystal structure of Ba2YCu, from Alexandria.

Output
- Energy of formation from the pure elements: 440.6 meV/atom

Unit cell a=8.112 b=8.112 c=8.112 alpha=90.00 beta=90.00 gamma=90.00
Space group F-43m (No. 216)
One atom of each set of equivalent atoms:
1 Ba 0.000 0.000 0.000
2 Ba 0.250 0.250 0.250
3 Y 0.000 0.000 0.500
4 Cu 0.250 0.250 0.750


The following is a PBE calculation of an optimized crystal structure of Cd2CoSe, from Alexandria.

Output
- Uncorrected formation energy: 0.396 eV/atom

Unit cell a=6.696 b=6.696 c=6.696 alpha=90.00 beta=90.00 gamma=90.00
Space group F-43m (No. 216)
One atom of each set of equivalent atoms:
1 Cd 0.000 0.000 0.000
2 Cd 0.250 0.250 0.250
3 Co 0.000 0.000 0.500
4 Se 0.250 0.250 0.750


The following is a PBE calculation of an optimized crystal structure of TlInMo, from Alexandria.

Output
- Energy of formation from the pure elements: 677.8 meV/atom

Unit cell a=3.151 b=3.922 c=10.202 alpha=90.00 beta=90.00 gamma=90.00
Space group Imm2 (No. 44)
One atom of each set of equivalent atoms:
1 Tl 0.000 0.000 0.000
2 In 0.000 0.000 0.308
3 Mo 0.000 0.000 0.664


The following is a PBE calculation of an optimized crystal structure of KTlSe2O8, from Alexandria.

Output
- Uncorrected formation energy: -0.862 eV/atom

Unit cell a=5.2131 b=5.2131 c=25.5680 alpha=90.00 beta=90.00 gamma=120.00
Space group R-3 (No. 148, hexagonal axes)
One atom of each set of equivalent atoms:
1 K 0.0000 0.0000 0.0000
2 Tl 0.0000 0.0000 0.5000
3 Se 0.0000 0.0000 0.2425
4 O 0.0000 0.0000 0.3069
5 O 0.0020 0.6941 0.7791


Looking at E_tot for the records above, in order, we have -3.4273; -2.0951; -5.9830; -5.5640; -3.1608; -2.7089; -4.6341; -5.0365 eV per atom.